Entry 1:
{
  "formula": "HfIn2Ni9",
  "functional": "PBE",
  "state": "optimized geometry",
  "e_form_ev_per_atom": -0.213,
  "e_above_lowest_polymorph_ev_per_atom": 0.000,
  "dft_energy_ev_per_cell": -70.02,
  "lattice_angstrom": [[3.7342, 0.0000, 0.0000], [0.0000, 3.7342, 0.0000], [0.0000, 0.0000, 11.2203]],
  "species": ["Hf", "In", "In", "Ni", "Ni", "Ni", "Ni", "Ni", "Ni", "Ni", "Ni", "Ni"],
  "frac_coords": [[0.0000, 0.0000, 0.0000], [0.0000, 0.0000, 0.3334], [0.0000, 0.0000, 0.6666], [0.0000, 0.5000, 0.1647], [0.0000, 0.5000, 0.5000], [0.0000, 0.5000, 0.8353], [0.5000, 0.0000, 0.1647], [0.5000, 0.0000, 0.5000], [0.5000, 0.0000, 0.8353], [0.5000, 0.5000, 0.0000], [0.5000, 0.5000, 0.3322], [0.5000, 0.5000, 0.6678]]
}

***

Entry 2:
{
  "formula": "Hf6InNi",
  "functional": "PBE",
  "state": "optimized geometry",
  "e_form_ev_per_atom": -0.068,
  "dft_energy_ev_per_cell": -68.78,
  "lattice_angstrom": [[4.0582, 2.3430, 2.9271], [-4.0582, 2.3430, 2.9271], [0.0000, -4.6861, 2.9271]],
  "species": ["Hf", "Hf", "Hf", "Hf", "Hf", "Hf", "In", "Ni"],
  "frac_coords": [[0.0279, 0.5696, 0.7635], [0.2365, 0.9721, 0.4304], [0.4304, 0.2365, 0.9721], [0.5696, 0.7635, 0.0279], [0.7635, 0.0279, 0.5696], [0.9721, 0.4304, 0.2365], [0.5000, 0.5000, 0.5000], [0.0000, 0.0000, 0.0000]]
}

***

Entry 3:
{
  "formula": "HfIn2Ni9",
  "functional": "PBE",
  "state": "optimized geometry",
  "e_form_ev_per_atom": -0.181,
  "e_above_lowest_polymorph_ev_per_atom": 0.032,
  "dft_energy_ev_per_cell": -69.63,
  "lattice_angstrom": [[2.4100, 1.3914, 7.9403], [-2.4100, 1.3914, 7.9403], [0.0000, -2.7828, 7.9403]],
  "species": ["Hf", "In", "In", "Ni", "Ni", "Ni", "Ni", "Ni", "Ni", "Ni", "Ni", "Ni"],
  "frac_coords": [[0.0000, 0.0000, 0.0000], [0.1386, 0.1386, 0.1386], [0.8614, 0.8614, 0.8614], [0.0800, 0.5837, 0.5837], [0.3339, 0.3339, 0.3339], [0.4163, 0.4163, 0.9200], [0.4163, 0.9200, 0.4163], [0.5000, 0.5000, 0.5000], [0.5837, 0.0800, 0.5837], [0.5837, 0.5837, 0.0800], [0.6661, 0.6661, 0.6661], [0.9200, 0.4163, 0.4163]]
}

***

Entry 4:
{
  "formula": "HfInNi",
  "functional": "PBE",
  "state": "optimized geometry",
  "e_form_ev_per_atom": -0.208,
  "dft_energy_ev_per_cell": -76.38,
  "lattice_angstrom": [[8.7317, 0.0000, 0.0000], [0.0000, 4.3556, 0.0000], [0.0000, 0.0000, 6.2229]],
  "species": ["Hf", "Hf", "Hf", "Hf", "In", "In", "In", "In", "Ni", "Ni", "Ni", "Ni"],
  "frac_coords": [[0.1377, 0.2500, 0.0177], [0.3623, 0.7500, 0.5177], [0.6377, 0.2500, 0.4823], [0.8623, 0.7500, 0.9823], [0.1145, 0.2500, 0.5174], [0.3855, 0.7500, 0.0174], [0.6145, 0.2500, 0.9826], [0.8855, 0.7500, 0.4826], [0.1201, 0.7500, 0.7847], [0.3799, 0.2500, 0.2847], [0.6201, 0.7500, 0.7153], [0.8799, 0.2500, 0.2153]]
}

***

Entry 5:
{
  "formula": "HfInNi",
  "functional": "PBE",
  "state": "optimized geometry",
  "e_form_ev_per_atom": -0.369,
  "dft_energy_ev_per_cell": -39.16,
  "lattice_angstrom": [[1.6889, -8.0202, 0.0000], [1.6889, 8.0202, 0.0000], [0.0000, 0.0000, 4.1325]],
  "species": ["Hf", "Hf", "In", "In", "Ni", "Ni"],
  "frac_coords": [[0.0819, 0.9181, 0.7500], [0.9181, 0.0819, 0.2500], [0.2942, 0.7058, 0.7500], [0.7058, 0.2942, 0.2500], [0.4555, 0.5445, 0.7500], [0.5445, 0.4555, 0.2500]]
}

***

Entry 6:
{
  "formula": "Hf4InNi2",
  "functional": "PBE",
  "state": "optimized geometry",
  "e_form_ev_per_atom": 0.010,
  "dft_energy_ev_per_cell": -54.05,
  "lattice_angstrom": [[2.1576, 1.2457, 9.0197], [-2.1576, 1.2457, 9.0197], [0.0000, -2.4914, 9.0197]],
  "species": ["Hf", "Hf", "Hf", "Hf", "In", "Ni", "Ni"],
  "frac_coords": [[0.1066, 0.1066, 0.1066], [0.3002, 0.3002, 0.3002], [0.6998, 0.6998, 0.6998], [0.8934, 0.8934, 0.8934], [0.5000, 0.5000, 0.5000], [0.3966, 0.3966, 0.3966], [0.6034, 0.6034, 0.6034]]
}

***

Entry 7:
{
  "formula": "HfInNi",
  "functional": "PBE",
  "state": "optimized geometry",
  "e_form_ev_per_atom": -0.402,
  "dft_energy_ev_per_cell": -118.07,
  "lattice_angstrom": [[12.7597, 0.0000, 0.0000], [0.0000, 3.4140, 0.0000], [0.0000, 0.0000, 7.3851]],
  "species": ["Hf", "Hf", "Hf", "Hf", "Hf", "Hf", "In", "In", "In", "In", "In", "In", "Ni", "Ni", "Ni", "Ni", "Ni", "Ni"],
  "frac_coords": [[0.0489, 0.0000, 0.2033], [0.2500, 0.0000, 0.8321], [0.4511, 0.0000, 0.2033], [0.5489, 0.0000, 0.7967], [0.7500, 0.0000, 0.1679], [0.9511, 0.0000, 0.7967], [0.1115, 0.5000, 0.5656], [0.2500, 0.5000, 0.1719], [0.3885, 0.5000, 0.5656], [0.6115, 0.5000, 0.4344], [0.7500, 0.5000, 0.8281], [0.8885, 0.5000, 0.4344], [0.0908, 0.5000, 0.9317], [0.2500, 0.0000, 0.4411], [0.4092, 0.5000, 0.9317], [0.5908, 0.5000, 0.0683], [0.7500, 0.0000, 0.5589], [0.9092, 0.5000, 0.0683]]
}

***

Entry 8:
{
  "formula": "Hf2InNi9",
  "functional": "PBE",
  "state": "optimized geometry",
  "e_form_ev_per_atom": -0.379,
  "dft_energy_ev_per_cell": -79.23,
  "lattice_angstrom": [[3.7298, 0.0000, 0.0000], [0.0000, 3.7298, 0.0000], [0.0000, 0.0000, 11.1912]],
  "species": ["Hf", "Hf", "In", "Ni", "Ni", "Ni", "Ni", "Ni", "Ni", "Ni", "Ni", "Ni"],
  "frac_coords": [[0.0000, 0.0000, 0.1677], [0.0000, 0.0000, 0.8323], [0.0000, 0.0000, 0.5000], [0.0000, 0.5000, 0.0000], [0.0000, 0.5000, 0.3309], [0.0000, 0.5000, 0.6691], [0.5000, 0.0000, 0.0000], [0.5000, 0.0000, 0.3309], [0.5000, 0.0000, 0.6691], [0.5000, 0.5000, 0.1661], [0.5000, 0.5000, 0.5000], [0.5000, 0.5000, 0.8339]]
}

***

Entry 9:
{
  "formula": "Hf2In2Ni",
  "functional": "PBE",
  "state": "optimized geometry",
  "e_form_ev_per_atom": -0.020,
  "dft_energy_ev_per_cell": -62.53,
  "lattice_angstrom": [[6.7062, 0.0000, 0.0000], [0.0000, 6.7062, 0.0000], [0.0000, 0.0000, 4.5211]],
  "species": ["Hf", "Hf", "Hf", "Hf", "In", "In", "In", "In", "Ni", "Ni"],
  "frac_coords": [[0.1658, 0.3342, 0.0000], [0.3342, 0.8342, 0.0000], [0.6658, 0.1658, 0.0000], [0.8342, 0.6658, 0.0000], [0.1477, 0.6477, 0.5000], [0.3523, 0.1477, 0.5000], [0.6477, 0.8523, 0.5000], [0.8523, 0.3523, 0.5000], [0.0000, 0.0000, 0.5000], [0.5000, 0.5000, 0.5000]]
}

***

Entry 10:
{
  "formula": "HfInNi3",
  "functional": "PBE",
  "state": "optimized geometry",
  "e_form_ev_per_atom": 0.895,
  "dft_energy_ev_per_cell": -25.56,
  "lattice_angstrom": [[4.6153, 0.0000, 0.0000], [0.0000, 4.6153, 0.0000], [0.0000, 0.0000, 4.6153]],
  "species": ["Hf", "In", "Ni", "Ni", "Ni"],
  "frac_coords": [[0.0000, 0.0000, 0.0000], [0.5000, 0.5000, 0.5000], [0.0000, 0.0000, 0.5000], [0.0000, 0.5000, 0.0000], [0.5000, 0.0000, 0.0000]]
}

***

Entry 11:
{
  "formula": "HfInNi2",
  "functional": "PBE",
  "state": "optimized geometry",
  "e_form_ev_per_atom": -0.356,
  "dft_energy_ev_per_cell": -25.68,
  "lattice_angstrom": [[3.2142, 0.0000, 0.0000], [0.0000, 3.2142, 0.0000], [0.0000, 0.0000, 6.2497]],
  "species": ["Hf", "In", "Ni", "Ni"],
  "frac_coords": [[0.0000, 0.0000, 0.0000], [0.0000, 0.0000, 0.5000], [0.5000, 0.5000, 0.2240], [0.5000, 0.5000, 0.7760]]
}

***

Entry 12:
{
  "formula": "HfIn2Ni2",
  "functional": "PBE",
  "state": "optimized geometry",
  "e_form_ev_per_atom": -0.003,
  "e_above_lowest_polymorph_ev_per_atom": 0.122,
  "dft_energy_ev_per_cell": -54.01,
  "lattice_angstrom": [[7.7171, 0.0000, 0.0000], [0.0000, 7.7171, 0.0000], [0.0000, 0.0000, 2.8863]],
  "species": ["Hf", "Hf", "In", "In", "In", "In", "Ni", "Ni", "Ni", "Ni"],
  "frac_coords": [[0.0000, 0.0000, 0.0000], [0.5000, 0.5000, 0.0000], [0.1331, 0.3669, 0.0000], [0.3669, 0.8669, 0.0000], [0.6331, 0.1331, 0.0000], [0.8669, 0.6331, 0.0000], [0.1673, 0.6673, 0.5000], [0.3327, 0.1673, 0.5000], [0.6673, 0.8327, 0.5000], [0.8327, 0.3327, 0.5000]]
}